(1)
The following is a PBE-GGA calculation of a relaxed structure of MgSc2Ag2, from Alexandria.

Symmetry   I4/mmm, No. 139

Lattice parameters (Å, degrees): 4.3793 4.3793 6.8701 71.41 71.41 90.00
Positions (direct):
1 Sc 0.7500 0.2500 0.5000
2 Sc 0.2500 0.7500 0.5000
3 Mg 0.0000 0.0000 0.0000
4 Ag 0.3935 0.3935 0.2130
5 Ag 0.6065 0.6065 0.7870


(2)
The following is a PBE-GGA calculation of a relaxed structure of MgSc4Ag, from Alexandria.

Symmetry   F-43m, No. 216
ΔE to the lowest computed polymorph   365 meV/atom

Lattice parameters (Å, degrees): 5.8603 5.8603 5.8603 60.00 60.00 60.00
Positions (direct):
1 Mg 0.0000 0.0000 0.0000
2 Sc 0.8759 0.3747 0.3747
3 Sc 0.3747 0.3747 0.8759
4 Sc 0.3747 0.8759 0.3747
5 Sc 0.3747 0.3747 0.3747
6 Ag 0.7500 0.7500 0.7500


(3)
The following is a PBE-GGA calculation of a relaxed structure of MgScAg2, from Alexandria.

Symmetry   F-43m, No. 216

Lattice parameters (Å, degrees): 4.7693 4.7693 4.7693 60.00 60.00 60.00
Positions (direct):
1 Ag 0.0000 0.0000 0.0000
2 Ag 0.7500 0.7500 0.7500
3 Mg 0.5000 0.5000 0.5000
4 Sc 0.2500 0.2500 0.2500


(4)
The following is a PBE-GGA calculation of a relaxed structure of MgScAg2, from Alexandria.

Symmetry   I-42d, No. 122

Lattice parameters (Å, degrees): 4.2610 4.2610 10.0936 77.81 77.81 90.00
Positions (direct):
1 Sc 0.0000 0.0000 0.0000
2 Sc 0.7500 0.2500 0.5000
3 Mg 0.5000 0.5000 0.0000
4 Mg 0.2500 0.7500 0.5000
5 Ag 0.6078 0.1250 0.2500
6 Ag 0.1422 0.6250 0.2500
7 Ag 0.3750 0.3922 0.7500
8 Ag 0.8750 0.8578 0.7500


(5)
The following is a PBE-GGA calculation of a relaxed structure of Mg12Sc3Ag, from Alexandria.

Symmetry   P4/mmm, No. 123

Lattice parameters (Å, degrees): 4.4780 4.4780 17.7891 90.00 90.00 90.00
Positions (direct):
1 Mg 0.5000 0.5000 0.0000
2 Mg 0.5000 0.5000 0.2393
3 Mg 0.5000 0.5000 0.5000
4 Mg 0.5000 0.5000 0.7607
5 Mg 0.5000 0.0000 0.1144
6 Mg 0.5000 0.0000 0.3708
7 Mg 0.5000 0.0000 0.6292
8 Mg 0.5000 0.0000 0.8856
9 Mg 0.0000 0.5000 0.1144
10 Mg 0.0000 0.5000 0.3708
11 Mg 0.0000 0.5000 0.6292
12 Mg 0.0000 0.5000 0.8856
13 Sc 0.0000 0.0000 0.2420
14 Sc 0.0000 0.0000 0.5000
15 Sc 0.0000 0.0000 0.7580
16 Ag 0.0000 0.0000 0.0000


(6)
The following is a PBE-GGA calculation of a relaxed structure of Mg6Sc2Ag, from Alexandria.

Symmetry   P-62m, No. 189

Lattice parameters (Å, degrees): 3.0222 8.7642 8.7642 120.00 90.00 90.00
Positions (direct):
1 Mg 0.5000 0.0000 0.7083
2 Mg 0.5000 0.7083 0.0000
3 Mg 0.5000 0.2917 0.2917
4 Mg 0.0000 0.6454 0.6454
5 Mg 0.0000 0.3546 0.0000
6 Mg 0.0000 0.0000 0.3546
7 Sc 0.5000 0.3333 0.6667
8 Sc 0.5000 0.6667 0.3333
9 Ag 0.0000 0.0000 0.0000


(7)
The following is a PBE-GGA calculation of a relaxed structure of MgScAg, from Alexandria.

Symmetry   F-43m, No. 216

Lattice parameters (Å, degrees): 4.7368 4.7368 4.7368 60.00 60.00 60.00
Positions (direct):
1 Ag 0.0000 0.0000 0.0000
2 Mg 0.5000 0.5000 0.5000
3 Sc 0.7500 0.7500 0.7500


(8)
The following is a PBE-GGA calculation of a relaxed structure of Mg2ScAg2, from Alexandria.

Symmetry   P4/mbm, No. 127
ΔE to the lowest computed polymorph   45 meV/atom

Lattice parameters (Å, degrees): 8.1030 8.1030 3.0207 90.00 90.00 90.00
Positions (direct):
1 Sc 0.0000 0.0000 0.0000
2 Sc 0.5000 0.5000 0.0000
3 Mg 0.3712 0.8712 0.0000
4 Mg 0.8712 0.6288 0.0000
5 Mg 0.6288 0.1288 0.0000
6 Mg 0.1288 0.3712 0.0000
7 Ag 0.1698 0.6698 0.5000
8 Ag 0.6698 0.8302 0.5000
9 Ag 0.8302 0.3302 0.5000
10 Ag 0.3302 0.1698 0.5000


| no. | DFT formation energy (eV/atom) |
| --- | --- |
| 1 | 0.06 |
| 2 | 0.28 |
| 3 | -0.12 |
| 4 | 0.20 |
| 5 | -0.06 |
| 6 | 0.01 |
| 7 | 0.39 |
| 8 | -0.12 |